[1]
6
Lattice="3.535 0.000 0.000 0.000 3.535 0.000 0.000 0.000 13.508" Properties=species:S:1:pos:R:3 comment="Pm3InSn2 (PBE, relaxed)" formation_energy_kj_per_mol_fu=-350 e_above_lowest_polymorph_ev_per_atom=0.009 dft_energy_ev_per_cell=-28.62 pbc="T T T"
Pm 0.000 0.000 0.000
Pm 0.000 0.000 4.481
Pm 0.000 0.000 9.027
In 1.768 1.768 6.754
Sn 1.768 1.768 2.249
Sn 1.768 1.768 11.259


[2]
12
Lattice="4.937 0.000 0.000 0.000 15.113 0.000 0.000 0.000 4.342" Properties=species:S:1:pos:R:3 comment="PmIn2Sn3 (PBE, relaxed)" formation_energy_kj_per_mol_fu=-152 dft_energy_ev_per_cell=-47.62 pbc="T T T"
Pm 0.000 0.000 0.000
Pm 2.468 7.556 0.000
In 0.000 5.118 0.000
In 0.000 9.995 0.000
In 2.468 2.438 0.000
In 2.468 12.674 0.000
Sn 0.000 2.629 2.171
Sn 0.000 7.556 2.171
Sn 0.000 12.484 2.171
Sn 2.468 0.000 2.171
Sn 2.468 4.928 2.171
Sn 2.468 10.185 2.171


[3]
14
Lattice="5.266 -4.289 0.000 5.266 4.289 0.000 -0.515 0.000 8.903" Properties=species:S:1:pos:R:3 comment="PmIn3Sn3 (PBE, relaxed)" formation_energy_kj_per_mol_fu=-105 dft_energy_ev_per_cell=-52.13 pbc="T T T"
Pm 2.410 0.000 0.414
Pm 7.607 0.000 8.489
In 5.009 2.409 4.451
In 5.266 1.760 0.000
In 3.165 0.000 3.814
In 6.853 0.000 5.089
In 5.266 -1.760 0.000
In 5.009 -2.409 4.451
Sn -0.260 0.000 6.787
Sn 2.484 1.578 6.492
Sn 2.484 -1.578 6.492
Sn 7.534 1.578 2.411
Sn 7.534 -1.578 2.411
Sn 10.277 0.000 2.116